1.
The following is a DFT calculation (GGA-PBE) of a geometry-optimized Dy2Sc2Tl structure.

Structure (POSCAR):
```
Dy2Sc2Tl
1.0
-7.2420 1.0020 -2.6660
-5.4103 -0.6690 3.0879
-3.2378 7.5186 0.6793
Dy Sc Tl
4 4 2
direct
0.6367 0.3667 0.7109
0.3633 0.6333 0.2891
0.0035 0.6333 0.7109
0.9965 0.3667 0.2891
0.7428 0.0000 0.4078
0.6010 0.0000 0.1212
0.3990 0.0000 0.8788
0.2572 0.0000 0.5922
0.1561 0.6877 0.0000
0.8439 0.3123 0.0000
```

Computed properties:
Its space group is C2/m, No. 12. For the energy above the most stable polymorph in this dataset, the calculation gives 0.0 meV/atom. For the formation energy, the calculation gives -0.0043 eV per atom.

***

2.
The following is a DFT calculation (GGA-PBE) of a geometry-optimized Zr2Be3 structure.

Structure (POSCAR):
```
Zr2Be3
1.0
0.0000 4.2875 6.5912
2.5511 0.0000 6.5912
2.5511 4.2875 0.0000
Zr Be
4 6
direct
0.3923 0.5065 0.2786
0.8226 0.2786 0.5065
0.7435 0.8577 0.4274
0.9714 0.4274 0.8577
0.3070 0.4448 0.8578
0.3903 0.8578 0.4448
0.8052 0.9430 0.8597
0.3922 0.8597 0.9430
0.0877 0.9123 0.9123
0.3377 0.1623 0.1623
```

Computed properties:
Its space group is Fdd2, No. 43. For the energy above the most stable polymorph in this dataset, the calculation gives 0.0 meV/atom. For the formation energy, the calculation gives -0.0984 eV per atom.

***

3.
The following is a DFT calculation (GGA-PBE) of a geometry-optimized Mg2TlPb structure.

Structure (POSCAR):
```
Mg2TlPb
1.0
5.9749 -0.0194 -0.0530
2.0868 5.5987 0.0530
-3.2763 -3.8799 3.1488
Pb Tl Mg
1 1 2
direct
0.2500 0.7500 0.5000
0.7500 0.2500 0.5000
0.9955 0.9955 0.0000
0.5045 0.5045 0.0000
```

Computed properties:
Its space group is Immm, No. 71. For the energy above the most stable polymorph in this dataset, the calculation gives 58.9 meV/atom. For the formation energy, the calculation gives 0.0081 eV per atom.

***

4.
The following is a DFT calculation (GGA-PBE) of a geometry-optimized Y3MgCl structure.

Structure (POSCAR):
```
Y3MgCl
1.0
5.2000 0.0000 0.0000
0.0000 5.2000 0.0000
0.0000 0.0000 5.2000
Y Mg Cl
3 1 1
direct
0.0000 0.5000 0.0000
0.0000 0.0000 0.5000
0.5000 0.0000 0.0000
0.5000 0.5000 0.5000
0.0000 0.0000 0.0000
```

Computed properties:
Its space group is Pm-3m, No. 221. For the energy above the most stable polymorph in this dataset, the calculation gives 0.0 meV/atom. Its formation energy without anion corrections is -437 meV per atom.

***

5.
The following is a DFT calculation (GGA-PBE) of a geometry-optimized YTeIrN2 structure.

Structure (POSCAR):
```
YTeIrN2
1.0
-0.5763 -3.4318 2.0520
2.3356 -1.9717 -2.6414
4.4018 1.0981 3.0726
Y Ir Te N
1 1 1 2
direct
0.5000 0.5000 0.5000
0.0000 0.0000 0.0000
0.0000 0.0000 0.5000
0.0000 0.5000 0.0000
0.5000 0.0000 0.0000
```

Computed properties:
Its space group is P4/mmm, No. 123. For the energy above the most stable polymorph in this dataset, the calculation gives 0.0 meV/atom. Its formation energy without anion corrections is 461 meV per atom.

***

6.
The following is a DFT calculation (GGA-PBE) of a geometry-optimized CsNaTe2As structure.

Structure (POSCAR):
```
CsNaTe2As
1.0
7.3592 0.0000 0.0000
0.0000 7.1262 0.0000
0.0000 -3.5631 6.9648
Cs Na Te As
2 2 4 2
direct
0.2222 0.7500 0.5000
0.7778 0.2500 0.5000
0.5000 0.7500 0.0000
0.5000 0.2500 0.0000
0.7321 0.8591 0.7183
0.7321 0.6409 0.2817
0.2679 0.3591 0.7183
0.2679 0.1409 0.2817
0.0000 0.0000 0.0000
0.0000 0.5000 0.0000
```

Computed properties:
Its space group is Cmme, No. 67. Its formation energy without anion corrections is -401 meV per atom.

***

7.
The following is a DFT calculation (GGA-PBE) of a geometry-optimized Si2AsP structure.

Structure (POSCAR):
```
Si2AsP
1.0
-3.8546 -3.4579 4.2416
0.5408 -4.8604 4.5705
1.9979 5.7571 -2.7694
As P Si
1 1 2
direct
0.4567 0.4567 0.0000
0.2083 0.7083 0.5000
0.0559 0.0559 0.0000
0.7792 0.2792 0.5000
```

Computed properties:
Its space group is Imm2, No. 44. For the energy above the most stable polymorph in this dataset, the calculation gives 260.3 meV/atom. Its formation energy without anion corrections is 335 meV per atom.

***

8.
The following is a DFT calculation (GGA-PBE) of a geometry-optimized Ba2USe3F3 structure.

Structure (POSCAR):
```
Ba2USe3F3
1.0
-2.6944 2.8505 -0.7280
-1.7481 -3.4197 -6.9197
-3.9483 -2.0612 6.5418
Ba U Se F
2 1 3 3
direct
0.5000 0.3333 0.6667
0.5000 0.6667 0.3333
0.0000 0.0000 0.0000
0.0000 0.0000 0.3586
0.0000 0.6414 0.6414
0.0000 0.3586 0.0000
0.5000 0.8142 0.0000
0.5000 0.1858 0.1858
0.5000 0.0000 0.8142
```

Computed properties:
Its space group is P-62m, No. 189. Its formation energy without anion corrections is -2338 meV per atom.